(w)
Entry from Alexandria via LeMat-Bulk: a geometry-optimized HoEr6Tm3 structure (GGA-PBE).

Cell lengths 10.798, 10.798, 6.093 Å; angles 90.00, 90.00, 119.80 degrees
Element x y z (fractional)
Ho1 0.209 0.791 0.500
Ho2 0.791 0.209 0.000
Er1 0.039 0.459 0.295
Er2 0.049 0.951 0.734
Er3 0.285 0.715 0.011
Er4 0.289 0.382 0.123
Er5 0.382 0.289 0.623
Er6 0.459 0.039 0.795
Er7 0.541 0.961 0.295
Er8 0.618 0.711 0.123
Er9 0.711 0.618 0.623
Er10 0.715 0.285 0.511
Er11 0.951 0.049 0.234
Er12 0.961 0.541 0.795
Tm1 0.063 0.280 0.699
Tm2 0.280 0.063 0.199
Tm3 0.390 0.610 0.582
Tm4 0.610 0.390 0.082
Tm5 0.720 0.937 0.699
Tm6 0.937 0.720 0.199

Results
Magnetization in μB per formula unit: 0.003
V in Å³/cell: 616.5
Fermi-level density of states in states/eV/cell: 28.42

=====

(x)
Entry from Alexandria via LeMat-Bulk: a geometry-optimized HoEr6Tm3 structure (GGA-PBE).

Cell lengths 11.338, 11.338, 6.270 Å; angles 90.00, 90.00, 130.53 degrees
Element x y z (fractional)
Ho1 0.162 0.838 0.500
Ho2 0.838 0.162 0.000
Er1 0.015 0.985 0.695
Er2 0.104 0.542 0.188
Er3 0.258 0.378 0.948
Er4 0.301 0.699 0.732
Er5 0.378 0.258 0.448
Er6 0.458 0.896 0.188
Er7 0.542 0.104 0.688
Er8 0.622 0.742 0.948
Er9 0.699 0.301 0.232
Er10 0.742 0.622 0.448
Er11 0.896 0.458 0.688
Er12 0.985 0.015 0.195
Tm1 0.043 0.295 0.526
Tm2 0.295 0.043 0.026
Tm3 0.419 0.581 0.422
Tm4 0.581 0.419 0.922
Tm5 0.705 0.957 0.526
Tm6 0.957 0.705 0.026

Results
Magnetization in μB per formula unit: 0.000
V in Å³/cell: 612.6
Fermi-level density of states in states/eV/cell: 30.12

=====

Which structure wins on stability? (x) wins.

=====

(w)
Entry from Alexandria via LeMat-Bulk: a geometry-optimized HoEr7Tm12 structure (GGA-PBE).

Cell lengths 8.538, 8.538, 8.538 Å; angles 95.10, 95.10, 95.10 degrees
Element x y z (fractional)
Ho1 0.000 0.000 0.000
Er1 0.020 0.352 0.083
Er2 0.083 0.020 0.352
Er3 0.352 0.083 0.020
Er4 0.500 0.500 0.500
Er5 0.648 0.917 0.980
Er6 0.917 0.980 0.648
Er7 0.980 0.648 0.917
Tm1 0.148 0.480 0.417
Tm2 0.187 0.314 0.750
Tm3 0.250 0.813 0.686
Tm4 0.314 0.750 0.187
Tm5 0.417 0.148 0.480
Tm6 0.480 0.417 0.148
Tm7 0.520 0.583 0.852
Tm8 0.583 0.852 0.520
Tm9 0.686 0.250 0.813
Tm10 0.750 0.187 0.314
Tm11 0.813 0.686 0.250
Tm12 0.852 0.520 0.583

Results
Magnetization in μB per formula unit: 0.000
V in Å³/cell: 614.4
Fermi-level density of states in states/eV/cell: 18.27

=====

(x)
Entry from Alexandria via LeMat-Bulk: a geometry-optimized HoEr7Tm12 structure (GGA-PBE).

Cell lengths 9.621, 9.621, 9.621 Å; angles 109.47, 109.47, 109.47 degrees
Element x y z (fractional)
Ho1 0.000 0.000 0.000
Er1 0.000 0.000 0.500
Er2 0.000 0.500 0.000
Er3 0.000 0.500 0.500
Er4 0.500 0.000 0.000
Er5 0.500 0.000 0.500
Er6 0.500 0.500 0.000
Er7 0.500 0.500 0.500
Tm1 0.001 0.251 0.750
Tm2 0.250 0.501 0.251
Tm3 0.250 0.999 0.749
Tm4 0.251 0.250 0.501
Tm5 0.251 0.750 0.001
Tm6 0.499 0.749 0.750
Tm7 0.501 0.251 0.250
Tm8 0.749 0.250 0.999
Tm9 0.749 0.750 0.499
Tm10 0.750 0.001 0.251
Tm11 0.750 0.499 0.749
Tm12 0.999 0.749 0.250

Results
Magnetization in μB per formula unit: 0.000
V in Å³/cell: 685.5
Fermi-level density of states in states/eV/cell: 23.21

=====

Which structure wins on stability? (w) wins.

=====

(w)
Entry from Alexandria via LeMat-Bulk: a geometry-optimized HoErTm structure (GGA-PBE).

Cell lengths 6.666, 6.666, 9.456 Å; angles 119.16, 119.16, 30.46 degrees
Element x y z (fractional)
Ho1 0.106 0.106 0.330
Ho2 0.894 0.894 0.670
Er1 0.360 0.360 0.976
Er2 0.640 0.640 0.024
Tm1 0.374 0.374 0.336
Tm2 0.626 0.626 0.664

Results
Magnetization in μB per formula unit: 0.082
V in Å³/cell: 183.8
Fermi-level density of states in states/eV/cell: 11.62

=====

(x)
Entry from Alexandria via LeMat-Bulk: a geometry-optimized HoErTm structure (GGA-PBE).

Cell lengths 6.990, 4.954, 10.481 Å; angles 90.00, 90.00, 90.00 degrees
Element x y z (fractional)
Ho1 0.125 0.250 0.083
Ho2 0.375 0.750 0.583
Ho3 0.625 0.250 0.417
Ho4 0.875 0.750 0.917
Er1 0.125 0.250 0.750
Er2 0.375 0.750 0.250
Er3 0.625 0.250 0.750
Er4 0.875 0.750 0.250
Tm1 0.125 0.250 0.417
Tm2 0.375 0.750 0.917
Tm3 0.625 0.250 0.083
Tm4 0.875 0.750 0.583

Results
Magnetization in μB per formula unit: 0.000
V in Å³/cell: 363.0
Fermi-level density of states in states/eV/cell: 15.87

=====

Which structure wins on stability? (x) wins.

=====

(w)
Entry from Alexandria via LeMat-Bulk: a geometry-optimized HoErTm structure (GGA-PBE).

Cell lengths 5.525, 5.525, 3.435 Å; angles 90.00, 90.00, 120.00 degrees
Element x y z (fractional)
Ho1 0.000 0.000 0.000
Er1 0.667 0.333 0.501
Tm1 0.333 0.667 0.499

Results
Magnetization in μB per formula unit: 0.003
V in Å³/cell: 90.8
Fermi-level density of states in states/eV/cell: 5.75

=====

(x)
Entry from Alexandria via LeMat-Bulk: a geometry-optimized HoErTm structure (GGA-PBE).

Cell lengths 7.848, 7.848, 7.848 Å; angles 154.29, 154.29, 36.68 degrees
Element x y z (fractional)
Ho1 0.000 0.000 0.000
Er1 0.333 0.333 0.000
Tm1 0.667 0.667 0.000

Results
Magnetization in μB per formula unit: 0.000
V in Å³/cell: 90.9
Fermi-level density of states in states/eV/cell: 3.94

=====

Which structure wins on stability? (x) wins.

=====

(w)
Entry from Alexandria via LeMat-Bulk: a geometry-optimized Ho4Er8Tm3 structure (GGA-PBE).

Cell lengths 9.154, 9.154, 6.624 Å; angles 111.15, 111.15, 88.09 degrees
Element x y z (fractional)
Ho1 0.000 0.000 0.000
Ho2 0.000 0.000 0.500
Ho3 0.000 0.500 0.000
Ho4 0.500 0.000 0.000
Er1 0.252 0.748 0.000
Er2 0.266 0.266 0.509
Er3 0.268 0.268 0.031
Er4 0.361 0.639 0.500
Er5 0.639 0.361 0.500
Er6 0.732 0.732 0.969
Er7 0.734 0.734 0.491
Er8 0.748 0.252 0.000
Tm1 0.000 0.500 0.500
Tm2 0.500 0.000 0.500
Tm3 0.500 0.500 0.000

Results
Magnetization in μB per formula unit: 0.002
V in Å³/cell: 479.8
Fermi-level density of states in states/eV/cell: 28.66

=====

(x)
Entry from Alexandria via LeMat-Bulk: a geometry-optimized Ho4Er8Tm3 structure (GGA-PBE).

Cell lengths 12.233, 12.233, 12.233 Å; angles 32.39, 32.39, 32.39 degrees
Element x y z (fractional)
Ho1 0.000 0.000 0.000
Ho2 0.164 0.164 0.164
Ho3 0.500 0.500 0.500
Ho4 0.836 0.836 0.836
Er1 0.250 0.250 0.747
Er2 0.250 0.747 0.250
Er3 0.253 0.750 0.750
Er4 0.255 0.255 0.255
Er5 0.745 0.745 0.745
Er6 0.747 0.250 0.250
Er7 0.750 0.253 0.750
Er8 0.750 0.750 0.253
Tm1 0.000 0.500 0.500
Tm2 0.500 0.000 0.500
Tm3 0.500 0.500 0.000

Results
Magnetization in μB per formula unit: 0.000
V in Å³/cell: 466.9
Fermi-level density of states in states/eV/cell: 22.23

=====

Which structure wins on stability? (x) wins.

=====

(w)
Entry from Alexandria via LeMat-Bulk: a geometry-optimized Ho6Er5Tm structure (GGA-PBE).

Cell lengths 6.067, 6.067, 11.612 Å; angles 94.98, 94.98, 119.92 degrees
Element x y z (fractional)
Ho1 0.084 0.417 0.750
Ho2 0.250 0.250 0.250
Ho3 0.417 0.084 0.750
Ho4 0.583 0.916 0.250
Ho5 0.750 0.750 0.750
Ho6 0.916 0.583 0.250
Er1 0.000 0.000 0.500
Er2 0.167 0.833 0.000
Er3 0.333 0.667 0.500
Er4 0.667 0.333 0.500
Er5 0.833 0.167 0.000
Tm1 0.500 0.500 0.000

Results
Magnetization in μB per formula unit: 0.003
V in Å³/cell: 364.8
Fermi-level density of states in states/eV/cell: 16.40

=====

(x)
Entry from Alexandria via LeMat-Bulk: a geometry-optimized Ho6Er5Tm structure (GGA-PBE).

Cell lengths 9.972, 9.972, 5.720 Å; angles 106.64, 106.64, 124.45 degrees
Element x y z (fractional)
Ho1 0.071 0.429 0.750
Ho2 0.250 0.250 0.250
Ho3 0.429 0.071 0.750
Ho4 0.571 0.929 0.250
Ho5 0.750 0.750 0.750
Ho6 0.929 0.571 0.250
Er1 0.000 0.000 0.500
Er2 0.154 0.846 0.000
Er3 0.347 0.653 0.500
Er4 0.653 0.347 0.500
Er5 0.846 0.154 0.000
Tm1 0.500 0.500 0.000

Results
Magnetization in μB per formula unit: 0.000
V in Å³/cell: 370.0
Fermi-level density of states in states/eV/cell: 22.04

=====

Which structure wins on stability? (w) wins.

=====

(w)
Entry from Alexandria via LeMat-Bulk: a geometry-optimized Ho3Er4Tm4 structure (GGA-PBE).

Cell lengths 10.677, 10.677, 3.490 Å; angles 99.32, 99.32, 62.08 degrees
Element x y z (fractional)
Ho1 0.000 0.000 0.000
Ho2 0.391 0.391 0.891
Ho3 0.609 0.609 0.109
Er1 0.221 0.221 0.222
Er2 0.294 0.706 0.500
Er3 0.706 0.294 0.500
Er4 0.779 0.779 0.778
Tm1 0.070 0.588 0.329
Tm2 0.412 0.930 0.671
Tm3 0.588 0.070 0.329
Tm4 0.930 0.412 0.671

Results
Magnetization in μB per formula unit: 0.000
V in Å³/cell: 345.2
Fermi-level density of states in states/eV/cell: 14.89

=====

(x)
Entry from Alexandria via LeMat-Bulk: a geometry-optimized Ho3Er4Tm4 structure (GGA-PBE).

Cell lengths 3.456, 5.513, 17.818 Å; angles 81.14, 84.45, 89.99 degrees
Element x y z (fractional)
Ho1 0.000 0.000 0.000
Ho2 0.136 0.636 0.727
Ho3 0.864 0.364 0.273
Er1 0.266 0.267 0.467
Er2 0.409 0.910 0.181
Er3 0.591 0.090 0.819
Er4 0.734 0.733 0.533
Tm1 0.320 0.820 0.361
Tm2 0.455 0.455 0.091
Tm3 0.545 0.545 0.909
Tm4 0.680 0.180 0.639

Results
Magnetization in μB per formula unit: 0.003
V in Å³/cell: 333.8
Fermi-level density of states in states/eV/cell: 20.43

=====

Which structure wins on stability? (x) wins.

=====

(w)
Entry from Alexandria via LeMat-Bulk: a geometry-optimized Ho2Er2Tm5 structure (GGA-PBE).

Cell lengths 3.490, 6.041, 13.527 Å; angles 90.17, 97.24, 106.65 degrees
Element x y z (fractional)
Ho1 0.167 0.111 0.222
Ho2 0.833 0.889 0.778
Er1 0.500 0.334 0.667
Er2 0.500 0.666 0.333
Tm1 0.166 0.444 0.889
Tm2 0.167 0.778 0.555
Tm3 0.500 0.000 0.000
Tm4 0.833 0.222 0.445
Tm5 0.834 0.556 0.111

Results
Magnetization in μB per formula unit: 0.000
V in Å³/cell: 270.9
Fermi-level density of states in states/eV/cell: 12.53

=====

(x)
Entry from Alexandria via LeMat-Bulk: a geometry-optimized Ho2Er2Tm5 structure (GGA-PBE).

Cell lengths 9.900, 9.900, 9.900 Å; angles 84.18, 109.06, 140.78 degrees
Element x y z (fractional)
Ho1 0.010 0.128 0.138
Ho2 0.010 0.372 0.381
Ho3 0.990 0.628 0.619
Ho4 0.990 0.872 0.862
Er1 0.427 0.694 0.233
Er2 0.461 0.194 0.767
Er3 0.563 0.063 0.500
Er4 0.563 0.563 0.000
Tm1 0.110 0.294 0.708
Tm2 0.110 0.902 0.316
Tm3 0.419 0.407 0.512
Tm4 0.429 0.027 0.117
Tm5 0.429 0.812 0.902
Tm6 0.586 0.402 0.292
Tm7 0.586 0.794 0.684
Tm8 0.894 0.907 0.488
Tm9 0.910 0.312 0.883
Tm10 0.910 0.527 0.098

Results
Magnetization in μB per formula unit: 0.000
V in Å³/cell: 560.8
Fermi-level density of states in states/eV/cell: 31.28

=====

Which structure wins on stability? (w) wins.

=====

(w)
Entry from Alexandria via LeMat-Bulk: a geometry-optimized HoEr5Tm structure (GGA-PBE).

Cell lengths 6.648, 6.648, 12.061 Å; angles 107.69, 107.69, 59.89 degrees
Element x y z (fractional)
Ho1 0.029 0.971 0.750
Ho2 0.971 0.029 0.250
Er1 0.143 0.418 0.755
Er2 0.187 0.655 0.499
Er3 0.345 0.813 0.001
Er4 0.416 0.584 0.250
Er5 0.418 0.143 0.255
Er6 0.582 0.857 0.745
Er7 0.584 0.416 0.750
Er8 0.655 0.187 0.999
Er9 0.813 0.345 0.501
Er10 0.857 0.582 0.245
Tm1 0.000 0.500 0.000
Tm2 0.500 0.000 0.500

Results
Magnetization in μB per formula unit: 0.000
V in Å³/cell: 431.9
Fermi-level density of states in states/eV/cell: 16.37

=====

(x)
Entry from Alexandria via LeMat-Bulk: a geometry-optimized HoEr5Tm structure (GGA-PBE).

Cell lengths 7.657, 7.657, 7.657 Å; angles 117.46, 81.47, 133.40 degrees
Element x y z (fractional)
Ho1 0.000 0.000 0.000
Er1 0.018 0.261 0.756
Er2 0.262 0.584 0.321
Er3 0.262 0.941 0.679
Er4 0.505 0.261 0.244
Er5 0.522 0.522 0.000
Tm1 0.762 0.262 0.500

Results
Magnetization in μB per formula unit: 0.000
V in Å³/cell: 279.3
Fermi-level density of states in states/eV/cell: 8.97

=====

Which structure wins on stability? (w) wins.